Model P:
Computed, not measured: a geometry-optimized AgPbCl structure at the GGA-PBE level of DFT.

crystal system: tetragonal
magnetic moment: 0.00 μB per cell

a b c (Å): 6.380 6.380 6.380
angles (deg): 147.93 147.89 46.02
Fractional coordinates of all 3 atoms:
Pb (0.349, 0.349, 0.000)
Ag (0.008, 0.008, 0.000)
Cl (0.643, 0.643, 0.000)

***

Model Q:
Computed, not measured: a geometry-optimized AgPbCl structure at the GGA-PBE level of DFT.

crystal system: cubic
magnetic moment: 0.00 μB per cell

a b c (Å): 5.040 5.040 5.040
angles (deg): 60.00 60.00 60.00
Fractional coordinates of all 3 atoms:
Pb (0.750, 0.750, 0.750)
Cl (0.500, 0.500, 0.500)
Ag (0.000, 0.000, 0.000)

***

How do the energies compare? Relative to the most stable structure, in meV/atom: model P 0; model Q 160.

***

Model P:
Computed, not measured: a geometry-optimized Ag3PbCl structure at the GGA-PBE level of DFT.

crystal system: cubic
magnetic moment: 0.00 μB per cell

a b c (Å): 5.078 5.078 5.078
angles (deg): 90.00 90.00 90.00
Fractional coordinates of all 5 atoms:
Cl (0.000, 0.000, 0.000)
Ag (0.500, 0.000, 0.000)
Ag (0.000, 0.000, 0.500)
Ag (0.000, 0.500, 0.000)
Pb (0.500, 0.500, 0.500)

***

Model Q:
Computed, not measured: a geometry-optimized Ag3PbCl structure at the GGA-PBE level of DFT.

crystal system: cubic
magnetic moment: 0.00 μB per cell

a b c (Å): 5.423 5.423 5.423
angles (deg): 90.00 90.00 90.00
Fractional coordinates of all 5 atoms:
Cl (0.500, 0.500, 0.500)
Pb (0.000, 0.000, 0.000)
Ag (0.000, 0.000, 0.500)
Ag (0.000, 0.500, 0.000)
Ag (0.500, 0.000, 0.000)

***

How do the energies compare? Relative to the most stable structure, in meV/atom: model P 0; model Q 137.

***

Model P:
Computed, not measured: a geometry-optimized Ag2Pb2Cl7 structure at the GGA-PBE level of DFT.

crystal system: orthorhombic
magnetic moment: 0.00 μB per cell

a b c (Å): 6.742 6.834 6.742
angles (deg): 89.99 94.51 90.01
Fractional coordinates of all 11 atoms:
Pb (0.738, 0.500, 0.738)
Pb (0.262, 0.500, 0.262)
Cl (0.500, 0.248, 0.000)
Cl (0.500, 0.752, 0.000)
Cl (0.000, 0.752, 0.500)
Cl (0.000, 0.000, 0.000)
Cl (0.500, 0.244, 0.500)
Cl (0.000, 0.248, 0.500)
Cl (0.500, 0.756, 0.500)
Ag (0.254, 0.000, 0.746)
Ag (0.746, 0.000, 0.254)

***

Model Q:
Computed, not measured: a geometry-optimized Ag2Pb2Cl7 structure at the GGA-PBE level of DFT.

crystal system: monoclinic
magnetic moment: 0.97 μB per cell

a b c (Å): 6.599 7.035 7.035
angles (deg): 97.40 96.85 96.85
Fractional coordinates of all 11 atoms:
Cl (0.293, 0.963, 0.584)
Cl (0.293, 0.584, 0.963)
Cl (0.768, 0.020, 0.389)
Cl (0.772, 0.538, 0.538)
Cl (0.234, 0.430, 0.430)
Cl (0.260, 0.068, 0.068)
Cl (0.768, 0.389, 0.020)
Pb (0.039, 0.751, 0.261)
Pb (0.039, 0.261, 0.751)
Ag (0.532, 0.290, 0.290)
Ag (0.502, 0.705, 0.705)

***

How do the energies compare? Relative to the most stable structure, in meV/atom: model P 38; model Q 0.

***

Model P:
Computed, not measured: a geometry-optimized AgPb2Cl6 structure at the GGA-PBE level of DFT.

crystal system: tetragonal
magnetic moment: 0.00 μB per cell

a b c (Å): 6.612 6.612 12.667
angles (deg): 90.00 90.00 90.00
Fractional coordinates of all 18 atoms:
Pb (0.000, 0.000, 0.166)
Pb (0.000, 0.000, 0.834)
Pb (0.500, 0.500, 0.334)
Pb (0.500, 0.500, 0.666)
Cl (0.307, 0.307, 0.852)
Cl (0.693, 0.693, 0.148)
Cl (0.307, 0.307, 0.148)
Cl (0.303, 0.303, 0.500)
Cl (0.807, 0.193, 0.352)
Cl (0.807, 0.193, 0.648)
Cl (0.193, 0.807, 0.352)
Cl (0.693, 0.693, 0.852)
Cl (0.197, 0.803, 0.000)
Cl (0.193, 0.807, 0.648)
Cl (0.697, 0.697, 0.500)
Cl (0.803, 0.197, 0.000)
Ag (0.000, 0.000, 0.500)
Ag (0.500, 0.500, 0.000)

***

Model Q:
Computed, not measured: a geometry-optimized AgPb2Cl6 structure at the GGA-PBE level of DFT.

crystal system: monoclinic
magnetic moment: 0.00 μB per cell

a b c (Å): 5.493 7.235 8.762
angles (deg): 112.26 90.01 112.31
Fractional coordinates of all 9 atoms:
Ag (0.000, 0.000, 0.500)
Cl (0.687, 0.375, 0.077)
Cl (0.007, 0.014, 0.228)
Cl (0.364, 0.728, 0.425)
Cl (0.636, 0.272, 0.575)
Cl (0.993, 0.986, 0.772)
Cl (0.313, 0.625, 0.923)
Pb (0.188, 0.376, 0.142)
Pb (0.812, 0.624, 0.858)

***

How do the energies compare? Relative to the most stable structure, in meV/atom: model P 0; model Q 59.

***

Model P:
Computed, not measured: a geometry-optimized AgPbSCl2 structure at the GGA-PBE level of DFT.

crystal system: tetragonal
magnetic moment: 0.00 μB per cell

a b c (Å): 5.469 5.469 5.140
angles (deg): 90.00 90.00 90.00
Fractional coordinates of all 5 atoms:
Cl (0.500, 0.000, 0.000)
Cl (0.000, 0.500, 0.000)
Pb (0.000, 0.000, 0.000)
S (0.000, 0.000, 0.500)
Ag (0.500, 0.500, 0.500)

***

Model Q:
Computed, not measured: a geometry-optimized AgPbSCl2 structure at the GGA-PBE level of DFT.

crystal system: tetragonal
magnetic moment: 0.00 μB per cell

a b c (Å): 4.943 4.943 5.094
angles (deg): 90.00 90.00 90.00
Fractional coordinates of all 5 atoms:
Pb (0.500, 0.500, 0.500)
Cl (0.000, 0.500, 0.000)
Cl (0.500, 0.000, 0.000)
Ag (0.000, 0.000, 0.000)
S (0.000, 0.000, 0.500)

***

How do the energies compare? Relative to the most stable structure, in meV/atom: model P 180; model Q 0.

***

Model P:
Computed, not measured: a geometry-optimized Ag2PdCl structure at the GGA-PBE level of DFT.

crystal system: cubic
magnetic moment: 0.00 μB per cell

a b c (Å): 4.700 4.700 4.700
angles (deg): 60.00 60.00 60.00
Fractional coordinates of all 4 atoms:
Ag (0.250, 0.250, 0.250)
Ag (0.750, 0.750, 0.750)
Cl (0.000, 0.000, 0.000)
Pd (0.500, 0.500, 0.500)

***

Model Q:
Computed, not measured: a geometry-optimized Ag2PdCl structure at the GGA-PBE level of DFT.

crystal system: tetragonal
magnetic moment: 0.00 μB per cell

a b c (Å): 7.568 7.568 6.010
angles (deg): 50.98 50.98 90.00
Fractional coordinates of all 8 atoms:
Ag (0.875, 0.869, 0.750)
Ag (0.375, 0.381, 0.750)
Ag (0.619, 0.125, 0.250)
Ag (0.131, 0.625, 0.250)
Cl (0.250, 0.750, 0.500)
Cl (0.500, 0.500, 0.000)
Pd (0.000, 0.000, 0.000)
Pd (0.750, 0.250, 0.500)

***

Model R:
Computed, not measured: a geometry-optimized Ag2PdCl structure at the GGA-PBE level of DFT.

crystal system: trigonal
magnetic moment: 0.00 μB per cell

a b c (Å): 3.002 3.002 9.885
angles (deg): 81.27 81.27 60.00
Fractional coordinates of all 4 atoms:
Cl (0.500, 0.500, 0.500)
Ag (0.092, 0.092, 0.725)
Ag (0.908, 0.908, 0.275)
Pd (0.000, 0.000, 0.000)

***

How do the energies compare? Relative to the most stable structure, in meV/atom: model P 0; model Q 41; model R 58.